Entry from OQMD: a relaxed DyTmGa2Ir4 crystal (PBE).

Structure (CIF):
```
data_DyTmGa2Ir4
_chemical_formula_sum 'Dy1 Tm1 Ga2 Ir4'
_cell_length_a 4.3347
_cell_length_b 4.3347
_cell_length_c 8.9149
_cell_angle_alpha 90.00
_cell_angle_beta 90.00
_cell_angle_gamma 120.00
_symmetry_space_group_name_H-M 'P -6 m 2'
_symmetry_Int_Tables_number 187
_symmetry_space_group_name_Hall 'P -6 2'
loop_
_atom_site_label
_atom_site_type_symbol
_atom_site_fract_x
_atom_site_fract_y
_atom_site_fract_z
Dy1 Dy 0.0000 0.0000 0.0000
Tm1 Tm 0.6667 0.3333 0.5000
Ga1 Ga 0.3333 0.6667 0.2527
Ir1 Ir 0.0000 0.0000 0.3385
Ir2 Ir 0.6667 0.3333 0.1711
```

## Properties
Calculated density = 14.19 g/cm3
Volume = 145 Å³/f.u.
E = -6.91 eV per atom


Entry from OQMD: a relaxed DyYGa2Ir4 crystal (PBE).

Structure (CIF):
```
data_DyYGa2Ir4
_chemical_formula_sum 'Dy1 Y1 Ga2 Ir4'
_cell_length_a 4.588
_cell_length_b 4.588
_cell_length_c 6.489
_cell_angle_alpha 90.00
_cell_angle_beta 90.00
_cell_angle_gamma 90.00
_symmetry_space_group_name_H-M 'P 4/m m m'
_symmetry_Int_Tables_number 123
_symmetry_space_group_name_Hall '-P 4 2'
loop_
_atom_site_label
_atom_site_type_symbol
_atom_site_fract_x
_atom_site_fract_y
_atom_site_fract_z
Dy1 Dy 0.000 0.000 0.000
Y1 Y 0.500 0.500 0.500
Ga1 Ga 0.000 0.000 0.500
Ga2 Ga 0.500 0.500 0.000
Ir1 Ir 0.000 0.500 0.250
```

## Properties
Calculated density = 14.10 g/cm3
Volume = 137 Å³/f.u.
ΔE to the lowest computed polymorph = 2.1 kJ/mol of atoms


Entry from OQMD: a relaxed DyYGa2Ir4 crystal (PBE).

Structure (CIF):
```
data_DyYGa2Ir4
_chemical_formula_sum 'Dy1 Y1 Ga2 Ir4'
_cell_length_a 4.3402
_cell_length_b 4.3402
_cell_length_c 9.0000
_cell_angle_alpha 90.00
_cell_angle_beta 90.00
_cell_angle_gamma 120.00
_symmetry_space_group_name_H-M 'P -6 m 2'
_symmetry_Int_Tables_number 187
_symmetry_space_group_name_Hall 'P -6 2'
loop_
_atom_site_label
_atom_site_type_symbol
_atom_site_fract_x
_atom_site_fract_y
_atom_site_fract_z
Dy1 Dy 0.0000 0.0000 0.0000
Y1 Y 0.6667 0.3333 0.5000
Ga1 Ga 0.3333 0.6667 0.2499
Ir1 Ir 0.0000 0.0000 0.3305
Ir2 Ir 0.6667 0.3333 0.1659
```

## Properties
Calculated density = 13.12 g/cm3
Volume = 147 Å³/f.u.
ΔE to the lowest computed polymorph = 0.0 kJ/mol of atoms


Entry from OQMD: a relaxed Dy2ZnGaIr4 crystal (PBE).

Structure (CIF):
```
data_Dy2ZnGaIr4
_chemical_formula_sum 'Dy2 Zn1 Ga1 Ir4'
_cell_length_a 4.584
_cell_length_b 4.584
_cell_length_c 6.489
_cell_angle_alpha 90.00
_cell_angle_beta 90.00
_cell_angle_gamma 90.00
_symmetry_space_group_name_H-M 'P 4/m m m'
_symmetry_Int_Tables_number 123
_symmetry_space_group_name_Hall '-P 4 2'
loop_
_atom_site_label
_atom_site_type_symbol
_atom_site_fract_x
_atom_site_fract_y
_atom_site_fract_z
Dy1 Dy 0.000 0.000 0.000
Dy2 Dy 0.500 0.500 0.500
Zn1 Zn 0.000 0.000 0.500
Ga1 Ga 0.500 0.500 0.000
Ir1 Ir 0.000 0.500 0.247
```

## Properties
Calculated density = 14.96 g/cm3
Volume = 136 Å³/f.u.
E = -6.60 eV per atom


Entry from OQMD: a relaxed DyZnGa2Ir crystal (PBE).

Structure (CIF):
```
data_DyZnGa2Ir
_chemical_formula_sum 'Dy2 Zn2 Ga4 Ir2'
_cell_length_a 4.091
_cell_length_b 4.091
_cell_length_c 10.795
_cell_angle_alpha 90.00
_cell_angle_beta 90.00
_cell_angle_gamma 90.00
_symmetry_space_group_name_H-M 'I -4 m 2'
_symmetry_Int_Tables_number 119
_symmetry_space_group_name_Hall 'I -4 -2'
loop_
_atom_site_label
_atom_site_type_symbol
_atom_site_fract_x
_atom_site_fract_y
_atom_site_fract_z
Dy1 Dy 0.000 0.000 0.000
Zn1 Zn 0.000 0.500 0.250
Ga1 Ga 0.000 0.000 0.385
Ir1 Ir 0.000 0.500 0.750
```

## Properties
Calculated density = 10.29 g/cm3
Volume = 90 Å³/f.u.
E = -4.67 eV per atom


Entry from OQMD: a relaxed DyZrGa4Ir2 crystal (PBE).

Structure (CIF):
```
data_DyZrGa4Ir2
_chemical_formula_sum 'Dy2 Zr2 Ga8 Ir4'
_cell_length_a 6.632
_cell_length_b 4.280
_cell_length_c 9.964
_cell_angle_alpha 90.00
_cell_angle_beta 90.00
_cell_angle_gamma 90.00
_symmetry_space_group_name_H-M 'A m m 2'
_symmetry_Int_Tables_number 38
loop_
_symmetry_equiv_pos_as_xyz
'x,y,z'
'-x,-y,z'
'-x,y,z'
'x,-y,z'
'x,y+1/2,z+1/2'
'-x,-y+1/2,z+1/2'
'-x,y+1/2,z+1/2'
'x,-y+1/2,z+1/2'
loop_
_atom_site_label
_atom_site_type_symbol
_atom_site_fract_x
_atom_site_fract_y
_atom_site_fract_z
Dy1 Dy 0.000 0.000 0.000
Zr1 Zr 0.500 0.000 0.834
Ga1 Ga 0.204 0.000 0.286
Ga2 Ga 0.305 0.000 0.549
Ir1 Ir 0.000 0.000 0.712
Ir2 Ir 0.500 0.000 0.120
```

## Properties
Calculated density = 10.77 g/cm3
Volume = 141 Å³/f.u.
E = -6.07 eV per atom


Entry from OQMD: a relaxed KDyGa crystal (PBE).

Structure (CIF):
```
data_KDyGa
_chemical_formula_sum 'K4 Dy4 Ga4'
_cell_length_a 7.303
_cell_length_b 7.303
_cell_length_c 7.303
_cell_angle_alpha 90.00
_cell_angle_beta 90.00
_cell_angle_gamma 90.00
_symmetry_space_group_name_H-M 'F -4 3 m'
_symmetry_Int_Tables_number 216
_symmetry_space_group_name_Hall 'F -4 2 3'
loop_
_atom_site_label
_atom_site_type_symbol
_atom_site_fract_x
_atom_site_fract_y
_atom_site_fract_z
K1 K 0.000 0.000 0.000
Dy1 Dy 0.250 0.250 0.750
Ga1 Ga 0.000 0.000 0.500
```

## Properties
Calculated density = 4.63 g/cm3
Volume = 97 Å³/f.u.
ΔE to the lowest computed polymorph = 0.0 kJ/mol of atoms


Entry from OQMD: a relaxed KDyGaSe3 crystal (PBE).

Structure (CIF):
```
data_KDyGaSe3
_chemical_formula_sum 'K4 Dy4 Ga4 Se12'
_cell_length_a 4.547
_cell_length_b 14.323
_cell_length_c 10.933
_cell_angle_alpha 90.00
_cell_angle_beta 90.00
_cell_angle_gamma 90.00
_symmetry_space_group_name_H-M 'C m c m'
_symmetry_Int_Tables_number 63
_symmetry_space_group_name_Hall '-C 2c 2'
loop_
_atom_site_label
_atom_site_type_symbol
_atom_site_fract_x
_atom_site_fract_y
_atom_site_fract_z
K1 K 0.000 0.249 0.250
Dy1 Dy 0.000 0.500 0.000
Ga1 Ga 0.000 0.015 0.750
Se1 Se 0.000 0.123 0.565
Se2 Se 0.000 0.434 0.750
```

## Properties
Calculated density = 4.74 g/cm3
Volume = 178 Å³/f.u.
E = -4.42 eV per atom